Crystalline Ba2HgMoO6 at its relaxed geometry. Source: Alexandria via LeMat-Bulk, functional PBE with a Hubbard U.

Unit cell a=6.1968 b=6.1968 c=29.6054 alpha=90.00 beta=90.00 gamma=120.00
Space group R-3m (No. 166, hexagonal axes)
Unique sites:
Ba 0.0000 0.0000 0.1288 (multiplicity 6)
Ba 0.0000 0.0000 0.2712 (multiplicity 6)
Hg 0.0000 0.0000 0.3968 (multiplicity 6)
Mo 0.0000 0.0000 0.0000 (multiplicity 3)
Mo 0.0000 0.0000 0.5000 (multiplicity 3)
O 0.0265 0.5132 0.1296 (multiplicity 18)
O 0.0503 0.5251 0.7068 (multiplicity 18)

Results
* calculated density: 6.75 g/cm³
* DFT total energy: -5.9209 eV/atom